7
Lattice="2.284 1.319 7.802 -2.284 1.319 7.802 0.000 -2.637 7.802" Properties=species:S:1:pos:R:3 comment="DySn2Pd4 PBE optimized geometry" total_magnetization_mub_per_fu=0.000 space_group="No. 166" ef_kj_per_mol_fu=-416 n_ef_per_ev_fu=4.71 total_energy_ev_per_atom=-5.385 pbc="T T T"
Dy 0.000 0.000 0.000
Sn 0.000 0.000 5.715
Sn 0.000 0.000 17.689
Pd 0.000 0.000 3.011
Pd 0.000 0.000 9.410
Pd 0.000 0.000 13.995
Pd 0.000 0.000 20.393